This record from the Alexandria database describes a relaxed BeRe2Mo crystal. The functional is GGA-PBE.

Values from the calculation:
For the formation energy, the calculation gives 0.208 eV per atom.

Structure (POSCAR):
```
BeRe2Mo
1.0
-2.9936 0.6297 0.4813
-1.0101 -2.0385 -3.6157
-0.4155 -3.6267 2.1607
Re Be Mo
2 1 1
Direct
0.0000 0.0000 0.0000
0.5000 0.5000 0.0000
0.5000 0.0000 0.5000
0.0000 0.5000 0.5000
```

---

This record from the Alexandria database describes a relaxed BaTc2I crystal. The functional is GGA-PBE.

Values from the calculation:
The value obtained for the formation energy from raw total energies is 729 meV per atom. For the energy above the most stable polymorph in this dataset, the calculation gives 0.0 meV per atom.

Structure (POSCAR):
```
BaTc2I
1.0
4.9643 0.0000 0.0000
0.0000 4.9643 0.0000
2.4822 2.4822 9.3287
I Tc Ba
2 4 2
Direct
0.5000 0.5000 0.0000
0.2500 0.7500 0.5000
0.3418 0.6250 0.2500
0.4082 0.1250 0.2500
0.3750 0.5918 0.7500
0.8750 0.6582 0.7500
0.7500 0.2500 0.5000
0.0000 0.0000 0.0000
```

---

This record from the Alexandria database describes a relaxed Mg2SbAsPb crystal. The functional is GGA-PBE.

Values from the calculation:
The value obtained for the formation energy from raw total energies is 56 meV per atom.

Structure (POSCAR):
```
Mg2SbAsPb
1.0
-1.3881 1.7672 4.4074
4.9213 -2.0740 2.3815
2.2830 4.2747 -0.9949
Pb Sb Mg As
1 1 2 1
Direct
0.5000 0.5000 0.5000
0.0000 0.5000 0.0000
0.5000 0.0000 0.0000
0.0000 0.0000 0.5000
0.0000 0.0000 0.0000
```

---

This record from the Alexandria database describes a relaxed CsKHgPb crystal. The functional is GGA-PBE.

Values from the calculation:
For the formation energy, the calculation gives -0.175 eV per atom. For the energy above the most stable polymorph in this dataset, the calculation gives 0.0 meV per atom.

Structure (POSCAR):
```
CsKHgPb
1.0
5.4053 -0.0179 -0.0105
-2.6867 4.6903 0.0105
-2.6999 -1.5562 7.3911
K Cs Pb Hg
1 1 1 1
Direct
0.9959 0.8627 0.8586
0.3820 0.0555 0.4375
0.8247 0.2768 0.1015
0.4895 0.6094 0.0989
```

---

What did the first record say?
This record from the Alexandria database describes a relaxed BeRe2Mo crystal. The functional is GGA-PBE.

Values from the calculation:
For the formation energy, the calculation gives 0.208 eV per atom.

Structure (POSCAR):
```
BeRe2Mo
1.0
-2.9936 0.6297 0.4813
-1.0101 -2.0385 -3.6157
-0.4155 -3.6267 2.1607
Re Be Mo
2 1 1
Direct
0.0000 0.0000 0.0000
0.5000 0.5000 0.0000
0.5000 0.0000 0.5000
0.0000 0.5000 0.5000
```